Compound: SiTeRh2N
Source: Alexandria via LeMat-Bulk
Functional: PBE
Structure: optimized geometry

Values from the calculation:
* crystal system: tetragonal
* formation energy (no corrections): 0.30 eV/atom
* DOS(E_F): 5.5 states/eV per cell

```
data_SiTeRh2N
_cell_length_a 4.804
_cell_length_b 4.804
_cell_length_c 3.367
_cell_angle_alpha 90.00
_cell_angle_beta 90.00
_cell_angle_gamma 90.00
_space_group_name_H-M_alt 'P 4/m m m'
_space_group_IT_number 123
_space_group_name_Hall '-P 4 2'
loop_
_atom_site_label
_atom_site_fract_x
_atom_site_fract_y
_atom_site_fract_z
Si1 0.000 0.000 0.000
Te1 0.500 0.500 0.500
Rh1 0.000 0.500 0.000
N1 0.000 0.000 0.500
```

Compound: SiTeRhN2
Source: Alexandria via LeMat-Bulk
Functional: PBE
Structure: optimized geometry

Values from the calculation:
* crystal system: tetragonal
* formation energy (no corrections): 1.23 eV/atom
* distance to the lowest polymorph of the same formula: 501.3 meV/atom
* DOS(E_F): 3.8 states/eV per cell

```
data_SiTeRhN2
_cell_length_a 3.842
_cell_length_b 3.842
_cell_length_c 6.062
_cell_angle_alpha 90.00
_cell_angle_beta 90.00
_cell_angle_gamma 90.00
_space_group_name_H-M_alt 'P 4/m m m'
_space_group_IT_number 123
_space_group_name_Hall '-P 4 2'
loop_
_atom_site_label
_atom_site_fract_x
_atom_site_fract_y
_atom_site_fract_z
Si1 0.000 0.000 0.000
Te1 0.500 0.500 0.000
Rh1 0.500 0.500 0.500
N1 0.000 0.500 0.500
```

Compound: TiSi2RhN
Source: Alexandria via LeMat-Bulk
Functional: PBE
Structure: optimized geometry

Values from the calculation:
* crystal system: tetragonal
* formation energy (no corrections): 0.82 eV/atom
* DOS(E_F): 5.2 states/eV per cell

```
data_TiSi2RhN
_cell_length_a 4.832
_cell_length_b 4.832
_cell_length_c 3.704
_cell_angle_alpha 90.00
_cell_angle_beta 90.00
_cell_angle_gamma 90.00
_space_group_name_H-M_alt 'P 4/m m m'
_space_group_IT_number 123
_space_group_name_Hall '-P 4 2'
loop_
_atom_site_label
_atom_site_fract_x
_atom_site_fract_y
_atom_site_fract_z
Ti1 0.000 0.000 0.000
Si1 0.000 0.500 0.000
Rh1 0.500 0.500 0.500
N1 0.000 0.000 0.500
```

Compound: SmRhN
Source: Alexandria via LeMat-Bulk
Functional: PBE
Structure: optimized geometry

Values from the calculation:
* crystal system: hexagonal
* formation energy (no corrections): 0.14 eV/atom
* DOS(E_F): 2.4 states/eV per cell

```
data_SmRhN
_cell_length_a 4.7443
_cell_length_b 4.7443
_cell_length_c 3.8028
_cell_angle_alpha 90.00
_cell_angle_beta 90.00
_cell_angle_gamma 120.00
_space_group_name_H-M_alt 'P -6 m 2'
_space_group_IT_number 187
_space_group_name_Hall 'P -6 2'
loop_
_atom_site_label
_atom_site_fract_x
_atom_site_fract_y
_atom_site_fract_z
Sm1 0.0000 0.0000 0.0000
Rh1 0.3333 0.6667 0.0000
N1 0.3333 0.6667 0.5000
```

Compound: SmRhN3
Source: Alexandria via LeMat-Bulk
Functional: PBE
Structure: optimized geometry

Values from the calculation:
* crystal system: monoclinic
* formation energy (no corrections): -0.47 eV/atom
* DOS(E_F): 2.9 states/eV per cell

```
data_SmRhN3
_cell_length_a 5.642
_cell_length_b 3.342
_cell_length_c 7.641
_cell_angle_alpha 90.00
_cell_angle_beta 111.45
_cell_angle_gamma 90.00
_space_group_name_H-M_alt 'P 1 2/m 1'
_space_group_IT_number 10
_space_group_name_Hall '-P 2y'
loop_
_atom_site_label
_atom_site_fract_x
_atom_site_fract_y
_atom_site_fract_z
Sm1 0.172 0.000 0.342
Rh1 0.357 0.500 0.717
N1 0.000 0.500 0.500
N2 0.212 0.500 0.917
N3 0.294 0.500 0.086
N4 0.500 0.500 0.500
```

Compound: SmRhN
Source: Alexandria via LeMat-Bulk
Functional: PBE
Structure: optimized geometry

Values from the calculation:
* crystal system: trigonal
* formation energy (no corrections): -0.36 eV/atom
* DOS(E_F): 1.5 states/eV per cell

```
data_SmRhN
_cell_length_a 3.7468
_cell_length_b 3.7468
_cell_length_c 3.9509
_cell_angle_alpha 90.00
_cell_angle_beta 90.00
_cell_angle_gamma 120.00
_space_group_name_H-M_alt 'P 3 m 1'
_space_group_IT_number 156
_space_group_name_Hall 'P 3 -2"'
loop_
_atom_site_label
_atom_site_fract_x
_atom_site_fract_y
_atom_site_fract_z
Sm1 0.0000 0.0000 0.0000
Rh1 0.6667 0.3333 0.5362
N1 0.3333 0.6667 0.6487
```

Compound: SnRhN2
Source: Alexandria via LeMat-Bulk
Functional: PBE
Structure: optimized geometry

Values from the calculation:
* crystal system: trigonal
* formation energy (no corrections): 0.59 eV/atom
* DOS(E_F): 10.3 states/eV per cell

```
data_SnRhN2
_cell_length_a 3.2125
_cell_length_b 3.2125
_cell_length_c 18.6545
_cell_angle_alpha 90.00
_cell_angle_beta 90.00
_cell_angle_gamma 120.00
_space_group_name_H-M_alt 'R -3 m'
_space_group_IT_number 166
_space_group_name_Hall '-R 3 2"'
loop_
_atom_site_label
_atom_site_fract_x
_atom_site_fract_y
_atom_site_fract_z
Sn1 0.0000 0.0000 0.0000
Rh1 0.0000 0.0000 0.5000
N1 0.0000 0.0000 0.3967
```

Compound: SnRhN2
Source: Alexandria via LeMat-Bulk
Functional: PBE
Structure: optimized geometry

Values from the calculation:
* crystal system: tetragonal
* formation energy (no corrections): 0.62 eV/atom
* DOS(E_F): 8.2 states/eV per cell

```
data_SnRhN2
_cell_length_a 4.854
_cell_length_b 4.854
_cell_length_c 9.929
_cell_angle_alpha 90.00
_cell_angle_beta 90.00
_cell_angle_gamma 90.00
_space_group_name_H-M_alt 'I -4 2 d'
_space_group_IT_number 122
_space_group_name_Hall 'I -4 2bw'
loop_
_atom_site_label
_atom_site_fract_x
_atom_site_fract_y
_atom_site_fract_z
Sn1 0.000 0.000 0.000
Rh1 0.000 0.000 0.500
N1 0.231 0.250 0.625
```

Compound: Sn2RhN
Source: Alexandria via LeMat-Bulk
Functional: PBE
Structure: optimized geometry

Values from the calculation:
* crystal system: tetragonal
* formation energy (no corrections): 0.10 eV/atom
* DOS(E_F): 0.6 states/eV per cell

```
data_Sn2RhN
_cell_length_a 6.105
_cell_length_b 6.105
_cell_length_c 7.937
_cell_angle_alpha 90.00
_cell_angle_beta 90.00
_cell_angle_gamma 90.00
_space_group_name_H-M_alt 'I -4 2 d'
_space_group_IT_number 122
_space_group_name_Hall 'I -4 2bw'
loop_
_atom_site_label
_atom_site_fract_x
_atom_site_fract_y
_atom_site_fract_z
Sn1 0.196 0.750 0.125
Rh1 0.000 0.000 0.500
N1 0.000 0.000 0.000
```

Compound: Sr2SnRhN
Source: Alexandria via LeMat-Bulk
Functional: PBE
Structure: optimized geometry

Values from the calculation:
* crystal system: tetragonal
* formation energy (no corrections): -0.50 eV/atom
* DOS(E_F): 3.3 states/eV per cell

```
data_Sr2SnRhN
_cell_length_a 5.611
_cell_length_b 5.611
_cell_length_c 3.827
_cell_angle_alpha 90.00
_cell_angle_beta 90.00
_cell_angle_gamma 90.00
_space_group_name_H-M_alt 'P 4/m m m'
_space_group_IT_number 123
_space_group_name_Hall '-P 4 2'
loop_
_atom_site_label
_atom_site_fract_x
_atom_site_fract_y
_atom_site_fract_z
Sr1 0.000 0.500 0.000
Sn1 0.000 0.000 0.500
Rh1 0.500 0.500 0.500
N1 0.500 0.500 0.000
```

Compound: SnTeRhN2
Source: Alexandria via LeMat-Bulk
Functional: PBE
Structure: optimized geometry

Values from the calculation:
* crystal system: tetragonal
* formation energy (no corrections): 1.48 eV/atom
* distance to the lowest polymorph of the same formula: 362.3 meV/atom
* DOS(E_F): 2.6 states/eV per cell

```
data_SnTeRhN2
_cell_length_a 4.038
_cell_length_b 4.038
_cell_length_c 6.295
_cell_angle_alpha 90.00
_cell_angle_beta 90.00
_cell_angle_gamma 90.00
_space_group_name_H-M_alt 'P 4/m m m'
_space_group_IT_number 123
_space_group_name_Hall '-P 4 2'
loop_
_atom_site_label
_atom_site_fract_x
_atom_site_fract_y
_atom_site_fract_z
Sn1 0.000 0.000 0.000
Te1 0.000 0.000 0.500
Rh1 0.500 0.500 0.500
N1 0.000 0.500 0.000
```

Compound: SnTeRhN2
Source: Alexandria via LeMat-Bulk
Functional: PBE
Structure: optimized geometry

Values from the calculation:
* crystal system: tetragonal
* formation energy (no corrections): 1.11 eV/atom
* distance to the lowest polymorph of the same formula: 0.0 meV/atom
* DOS(E_F): 4.8 states/eV per cell

```
data_SnTeRhN2
_cell_length_a 4.078
_cell_length_b 4.078
_cell_length_c 5.484
_cell_angle_alpha 90.00
_cell_angle_beta 90.00
_cell_angle_gamma 90.00
_space_group_name_H-M_alt 'P 4/m m m'
_space_group_IT_number 123
_space_group_name_Hall '-P 4 2'
loop_
_atom_site_label
_atom_site_fract_x
_atom_site_fract_y
_atom_site_fract_z
Sn1 0.000 0.000 0.000
Te1 0.500 0.500 0.000
Rh1 0.500 0.500 0.500
N1 0.000 0.500 0.500
```

Compound: TiSnRh2N
Source: Alexandria via LeMat-Bulk
Functional: PBE
Structure: optimized geometry

Values from the calculation:
* crystal system: tetragonal
* formation energy (no corrections): 2.11 eV/atom
* DOS(E_F): 6.9 states/eV per cell

```
data_TiSnRh2N
_cell_length_a 4.851
_cell_length_b 4.851
_cell_length_c 5.279
_cell_angle_alpha 90.00
_cell_angle_beta 90.00
_cell_angle_gamma 90.00
_space_group_name_H-M_alt 'P 4/m m m'
_space_group_IT_number 123
_space_group_name_Hall '-P 4 2'
loop_
_atom_site_label
_atom_site_fract_x
_atom_site_fract_y
_atom_site_fract_z
Ti1 0.000 0.000 0.000
Sn1 0.000 0.000 0.500
Rh1 0.000 0.500 0.500
N1 0.500 0.500 0.000
```

Compound: SrRh2N2
Source: Alexandria via LeMat-Bulk
Functional: PBE
Structure: optimized geometry

Values from the calculation:
* crystal system: tetragonal
* formation energy (no corrections): 0.17 eV/atom
* distance to the lowest polymorph of the same formula: 0.0 meV/atom
* DOS(E_F): 10.0 states/eV per cell

```
data_SrRh2N2
_cell_length_a 3.986
_cell_length_b 3.986
_cell_length_c 8.986
_cell_angle_alpha 90.00
_cell_angle_beta 90.00
_cell_angle_gamma 90.00
_space_group_name_H-M_alt 'I 4/m m m'
_space_group_IT_number 139
_space_group_name_Hall '-I 4 2'
loop_
_atom_site_label
_atom_site_fract_x
_atom_site_fract_y
_atom_site_fract_z
Sr1 0.000 0.000 0.000
Rh1 0.000 0.000 0.327
N1 0.000 0.500 0.250
```

Compound: Sr8Rh2N
Source: Alexandria via LeMat-Bulk
Functional: PBE
Structure: optimized geometry

Values from the calculation:
* crystal system: monoclinic
* formation energy (no corrections): -0.26 eV/atom
* DOS(E_F): 12.1 states/eV per cell

```
data_Sr8Rh2N
_cell_length_a 23.670
_cell_length_b 4.051
_cell_length_c 8.500
_cell_angle_alpha 90.00
_cell_angle_beta 91.33
_cell_angle_gamma 90.00
_space_group_name_H-M_alt 'C 1 2/m 1'
_space_group_IT_number 12
_space_group_name_Hall '-C 2y'
loop_
_atom_site_label
_atom_site_fract_x
_atom_site_fract_y
_atom_site_fract_z
Sr1 0.010 0.000 0.205
Sr2 0.111 0.500 0.996
Sr3 0.118 0.500 0.491
Sr4 0.246 0.500 0.244
Rh1 0.148 0.000 0.246
N1 0.000 0.500 0.000
```

Compound: SrRhN3
Source: Alexandria via LeMat-Bulk
Functional: PBE
Structure: optimized geometry

Values from the calculation:
* crystal system: cubic
* formation energy (no corrections): 0.66 eV/atom
* DOS(E_F): 6.0 states/eV per cell

```
data_SrRhN3
_cell_length_a 3.974
_cell_length_b 3.974
_cell_length_c 3.974
_cell_angle_alpha 90.00
_cell_angle_beta 90.00
_cell_angle_gamma 90.00
_space_group_name_H-M_alt 'P m -3 m'
_space_group_IT_number 221
_space_group_name_Hall '-P 4 2 3'
loop_
_atom_site_label
_atom_site_fract_x
_atom_site_fract_y
_atom_site_fract_z
Sr1 0.000 0.000 0.000
Rh1 0.500 0.500 0.500
N1 0.000 0.500 0.500
```

Compound: Sr2RhN
Source: Alexandria via LeMat-Bulk
Functional: PBE
Structure: optimized geometry

Values from the calculation:
* crystal system: tetragonal
* formation energy (no corrections): 0.22 eV/atom
* DOS(E_F): 9.5 states/eV per cell

```
data_Sr2RhN
_cell_length_a 7.460
_cell_length_b 7.460
_cell_length_c 6.648
_cell_angle_alpha 90.00
_cell_angle_beta 90.00
_cell_angle_gamma 90.00
_space_group_name_H-M_alt 'I -4 2 d'
_space_group_IT_number 122
_space_group_name_Hall 'I -4 2bw'
loop_
_atom_site_label
_atom_site_fract_x
_atom_site_fract_y
_atom_site_fract_z
Sr1 0.189 0.250 0.125
Rh1 0.000 0.000 0.500
N1 0.000 0.000 0.000
```

Compound: Sr2RhN
Source: Alexandria via LeMat-Bulk
Functional: PBE
Structure: optimized geometry

Values from the calculation:
* crystal system: tetragonal
* formation energy (no corrections): -0.47 eV/atom
* DOS(E_F): 2.2 states/eV per cell

```
data_Sr2RhN
_cell_length_a 5.373
_cell_length_b 5.373
_cell_length_c 3.837
_cell_angle_alpha 90.00
_cell_angle_beta 90.00
_cell_angle_gamma 90.00
_space_group_name_H-M_alt 'P 4/m m m'
_space_group_IT_number 123
_space_group_name_Hall '-P 4 2'
loop_
_atom_site_label
_atom_site_fract_x
_atom_site_fract_y
_atom_site_fract_z
Sr1 0.000 0.500 0.000
Rh1 0.000 0.000 0.500
N1 0.000 0.000 0.000
```

Compound: SrRhN3
Source: Alexandria via LeMat-Bulk
Functional: PBE
Structure: optimized geometry

Values from the calculation:
* crystal system: cubic
* formation energy (no corrections): 2.87 eV/atom
* DOS(E_F): 5.1 states/eV per cell

```
data_SrRhN3
_cell_length_a 4.314
_cell_length_b 4.314
_cell_length_c 4.314
_cell_angle_alpha 90.00
_cell_angle_beta 90.00
_cell_angle_gamma 90.00
_space_group_name_H-M_alt 'P m -3 m'
_space_group_IT_number 221
_space_group_name_Hall '-P 4 2 3'
loop_
_atom_site_label
_atom_site_fract_x
_atom_site_fract_y
_atom_site_fract_z
Sr1 0.000 0.000 0.000
Rh1 0.500 0.500 0.500
N1 0.000 0.000 0.500
```

Compound: SrRh2N2
Source: Alexandria via LeMat-Bulk
Functional: PBE
Structure: optimized geometry

Values from the calculation:
* crystal system: tetragonal
* formation energy (no corrections): 0.37 eV/atom
* distance to the lowest polymorph of the same formula: 200.2 meV/atom
* DOS(E_F): 5.2 states/eV per cell

```
data_SrRh2N2
_cell_length_a 7.563
_cell_length_b 7.563
_cell_length_c 3.406
_cell_angle_alpha 90.00
_cell_angle_beta 90.00
_cell_angle_gamma 90.00
_space_group_name_H-M_alt 'P 4/m b m'
_space_group_IT_number 127
_space_group_name_Hall '-P 4 2ab'
loop_
_atom_site_label
_atom_site_fract_x
_atom_site_fract_y
_atom_site_fract_z
Sr1 0.000 0.000 0.000
Rh1 0.117 0.383 0.000
N1 0.187 0.313 0.500
```